Record 1
Computed, not measured: a relaxed Tb9Dy2Y crystal at the GGA-PBE level of DFT.

Output
* total DFT energy (no corrections): -57.11 eV per cell

Unit cell a=5.0337 b=5.0337 c=15.1095 alpha=90.00 beta=90.00 gamma=90.00
Closest atoms and distances in Å follow each position.
Atoms (fractional coordinates):
Tb 0.0000 0.0000 0.0000  4 Y 3.56, 8 Tb 3.57
Tb 0.0000 0.0000 0.3337  8 Tb 3.56, 4 Dy 3.56
Tb 0.0000 0.0000 0.6663  8 Tb 3.56, 4 Dy 3.56
Tb 0.0000 0.5000 0.1675  2 Dy 3.55, 8 Tb 3.56-3.57, 2 Y 3.57
Tb 0.0000 0.5000 0.5000  8 Tb 3.56, 4 Dy 3.56
Tb 0.0000 0.5000 0.8325  2 Dy 3.55, 8 Tb 3.56-3.57, 2 Y 3.57
Tb 0.5000 0.0000 0.1675  2 Dy 3.55, 8 Tb 3.56-3.57, 2 Y 3.57
Tb 0.5000 0.0000 0.5000  8 Tb 3.56, 4 Dy 3.56
Tb 0.5000 0.0000 0.8325  2 Dy 3.55, 8 Tb 3.56-3.57, 2 Y 3.57
Dy 0.5000 0.5000 0.3336  12 Tb 3.55-3.56
Dy 0.5000 0.5000 0.6664  12 Tb 3.55-3.56
Y 0.5000 0.5000 0.0000  12 Tb 3.56-3.57



Record 2
Computed, not measured: a relaxed TbDy3Y3 crystal at the GGA-PBE level of DFT.

Output
* energy above the lowest structure with this stoichiometry: 103.8 meV/atom

Unit cell a=6.3138 b=6.3138 c=6.3138 alpha=102.44 beta=102.44 gamma=102.44
Closest atoms and distances in Å follow each position.
Atoms (fractional coordinates):
Tb 0.0000 0.0000 0.0000  3 Dy 3.13, 6 Y 3.25-3.44
Dy 0.0599 0.4098 0.4098  1 Tb 3.13, 2 Y 3.32, 2 Dy 3.44
Dy 0.4098 0.0599 0.4098  1 Tb 3.13, 2 Y 3.32, 2 Dy 3.44
Dy 0.4098 0.4098 0.0599  1 Tb 3.13, 2 Y 3.32, 2 Dy 3.44
Y 0.4516 0.8517 0.8517  2 Tb 3.25-3.44, 5 Dy 3.32-3.57
Y 0.8517 0.4516 0.8517  2 Tb 3.25-3.44, 5 Dy 3.32-3.57
Y 0.8517 0.8517 0.4516  2 Tb 3.25-3.44, 5 Dy 3.32-3.57



Record 3
Computed, not measured: a relaxed Tb2Dy5Y4 crystal at the GGA-PBE level of DFT.

Output
* energy above the lowest structure with this stoichiometry: 0.0 meV/atom

Unit cell a=6.6299 b=6.6299 c=9.2654 alpha=104.60 beta=104.60 gamma=66.86
Closest atoms and distances in Å follow each position.
Atoms (fractional coordinates):
Tb 0.1462 0.1462 0.1214  1 Tb 3.34, 6 Dy 3.43-3.65, 4 Y 3.45-3.66
Tb 0.8538 0.8538 0.8786  1 Tb 3.34, 6 Dy 3.43-3.65, 4 Y 3.45-3.66
Dy 0.0000 0.0000 0.5000  4 Dy 3.20, 2 Y 3.53
Dy 0.2119 0.6540 0.2211  2 Dy 3.20-3.23, 2 Tb 3.43-3.45, 5 Y 3.43-3.58
Dy 0.3460 0.7881 0.7789  2 Dy 3.20-3.23, 2 Tb 3.43-3.45, 5 Y 3.43-3.58
Dy 0.6540 0.2119 0.2211  2 Dy 3.20-3.23, 2 Tb 3.43-3.45, 5 Y 3.43-3.58
Dy 0.7881 0.3460 0.7789  2 Dy 3.20-3.23, 2 Tb 3.43-3.45, 5 Y 3.43-3.58
Y 0.3187 0.3187 0.4994  1 Tb 3.45, 1 Y 3.46, 5 Dy 3.53-3.58
Y 0.3285 0.3285 0.8760  6 Dy 3.43-3.45, 2 Y 3.46-3.80, 3 Tb 3.47-3.66
Y 0.6715 0.6715 0.1240  6 Dy 3.43-3.45, 2 Y 3.46-3.80, 3 Tb 3.47-3.66
Y 0.6813 0.6813 0.5006  1 Tb 3.45, 1 Y 3.46, 5 Dy 3.53-3.58